Density functional theory data (GGA+U) for a relaxed Sr3Co5O12 crystal.

The structure in extended XYZ format:
```
80
Lattice="-6.283 6.283 6.283 6.283 -6.283 6.283 6.283 6.283 -6.283" Properties=species:S:1:pos:R:3 pbc="T T T"
Sr 3.142 1.571 0.000
Sr 6.283 3.142 -1.571
Sr 1.571 0.000 3.142
Sr 7.854 0.000 3.142
Sr 0.000 3.142 1.571
Sr 3.142 -1.571 6.283
Sr 3.142 7.854 0.000
Sr 6.283 3.142 4.713
Sr -1.571 6.283 3.142
Sr 4.713 6.283 3.142
Sr 0.000 3.142 7.854
Sr 3.142 4.713 6.283
Co 0.000 0.000 0.000
Co 3.142 3.142 -3.142
Co 3.142 -3.142 3.142
Co 6.283 0.000 0.000
Co 9.425 1.571 0.000
Co 6.283 -3.142 4.713
Co 4.713 6.283 -3.142
Co 4.713 0.000 3.142
Co 3.142 4.713 0.000
Co 6.283 3.142 1.571
Co -3.142 3.142 3.142
Co 0.000 6.283 0.000
Co 0.000 0.000 6.283
Co 3.142 3.142 3.142
Co 0.000 3.142 4.713
Co 3.142 1.571 6.283
Co 1.571 6.283 3.142
Co 1.571 0.000 9.425
Co 0.000 9.425 1.571
Co -3.142 4.713 6.283
O 1.813 -0.448 0.544
O 7.612 3.686 -3.589
O 8.096 0.448 0.544
O 7.612 -2.597 3.589
O 5.836 -0.544 1.813
O 9.873 -1.329 2.597
O 0.544 1.813 -0.448
O 8.881 2.694 -1.329
O 3.686 3.589 -1.329
O 5.739 1.813 0.448
O -0.448 0.544 1.813
O 3.589 -1.329 3.686
O 5.836 5.739 -1.813
O 3.589 1.329 2.597
O 3.686 -3.589 7.612
O 5.739 -1.813 5.836
O 2.597 3.589 1.329
O 6.828 4.470 0.448
O 3.589 7.612 -2.597
O 5.836 0.544 4.470
O 1.813 5.836 -0.544
O 7.612 2.597 2.694
O 1.329 2.597 3.589
O 1.813 0.448 5.739
O 4.470 5.836 0.544
O 4.955 3.686 2.694
O -1.329 3.686 3.589
O 4.470 0.448 6.828
O 0.448 5.739 1.813
O 2.694 -1.329 8.881
O -0.544 1.813 5.836
O 3.686 2.694 4.955
O 0.544 8.096 0.448
O 2.597 9.873 -1.329
O 2.694 4.955 3.686
O 0.448 0.544 8.096
O 2.694 7.612 2.597
O 6.731 5.739 4.470
O 0.544 4.470 5.836
O 2.597 2.694 7.612
O -2.597 3.589 7.612
O 5.739 4.470 6.731
O -3.589 7.612 3.686
O 0.448 6.828 4.470
O -1.329 8.881 2.694
O -1.813 5.836 5.739
O -1.329 2.597 9.873
O 4.470 6.731 5.739
```

V = 12.40 A^3/atom
raw total energy = -475.195 eV/cell